## i
VASP calculation (PBE) on a relaxed La2MgCoPb crystal.

The space group is P4/mmm (No. 123) and the conventional cell measures 5.309, 5.309 and 5.088 Å, with angles of 90.00, 90.00 and 90.00 degrees. The inequivalent atoms are La at (0.000, 0.500, 0.000), Mg at (0.000, 0.000, 0.500), Co at (0.500, 0.500, 0.000) and Pb at (0.500, 0.500, 0.500).

For the total magnetic moment, the calculation gives 0.0 μB/f.u.

***

## ii
VASP calculation (PBE) on a relaxed La2MgCoPb crystal.

The space group is P4/mmm (No. 123) and the conventional cell measures 5.213, 5.213 and 5.070 Å, with angles of 90.00, 90.00 and 90.00 degrees. The inequivalent atoms are La at (0.000, 0.500, 0.000), Mg at (0.000, 0.000, 0.500), Co at (0.000, 0.000, 0.000) and Pb at (0.500, 0.500, 0.500).

For the total magnetic moment, the calculation gives 0.0 μB/f.u.

***

Order of stability, best first: ii, i

***

## i
VASP calculation (PBE) on a relaxed La2MgCoSn crystal.

The space group is P4/mmm (No. 123) and the conventional cell measures 5.309, 5.309 and 4.972 Å, with angles of 90.00, 90.00 and 90.00 degrees. The inequivalent atoms are La at (0.000, 0.500, 0.000), Mg at (0.000, 0.000, 0.500), Co at (0.500, 0.500, 0.000) and Sn at (0.500, 0.500, 0.500).

For the total magnetic moment, the calculation gives 0.0 μB/f.u.

***

## ii
VASP calculation (PBE) on a relaxed La2MgCoSn crystal.

The space group is P4/mmm (No. 123) and the conventional cell measures 5.191, 5.191 and 5.025 Å, with angles of 90.00, 90.00 and 90.00 degrees. The inequivalent atoms are La at (0.000, 0.500, 0.000), Mg at (0.000, 0.000, 0.500), Co at (0.000, 0.000, 0.000) and Sn at (0.500, 0.500, 0.500).

For the total magnetic moment, the calculation gives 0.0 μB/f.u.

***

Order of stability, best first: ii, i

***

## i
VASP calculation (PBE) on a relaxed La2MgTlCo crystal.

The space group is P4/mmm (No. 123) and the conventional cell measures 5.221, 5.221 and 5.084 Å, with angles of 90.00, 90.00 and 90.00 degrees. The inequivalent atoms are La at (0.000, 0.500, 0.000), Mg at (0.000, 0.000, 0.500), Tl at (0.500, 0.500, 0.500) and Co at (0.000, 0.000, 0.000).

For the total magnetic moment, the calculation gives 0.0 μB/f.u.

***

## ii
VASP calculation (PBE) on a relaxed La2MgTlCo crystal.

The space group is P4/mmm (No. 123) and the conventional cell measures 5.255, 5.255 and 5.154 Å, with angles of 90.00, 90.00 and 90.00 degrees. The inequivalent atoms are La at (0.000, 0.500, 0.000), Mg at (0.000, 0.000, 0.500), Tl at (0.500, 0.500, 0.500) and Co at (0.500, 0.500, 0.000).

For the total magnetic moment, the calculation gives 0.0 μB/f.u.

***

Order of stability, best first: i, ii

***

## i
VASP calculation (PBE) on a relaxed LaMg2TlCo crystal.

The space group is P4/mmm (No. 123) and the conventional cell measures 5.079, 5.079 and 4.941 Å, with angles of 90.00, 90.00 and 90.00 degrees. The inequivalent atoms are La at (0.000, 0.000, 0.000), Mg at (0.000, 0.500, 0.500), Tl at (0.500, 0.500, 0.000) and Co at (0.000, 0.000, 0.500).

For the total magnetic moment, the calculation gives 0.0 μB/f.u.

***

## ii
VASP calculation (PBE) on a relaxed LaMg2TlCo crystal.

The space group is P4/mmm (No. 123) and the conventional cell measures 4.883, 4.883 and 5.027 Å, with angles of 90.00, 90.00 and 90.00 degrees. The inequivalent atoms are La at (0.000, 0.000, 0.000), Mg at (0.000, 0.500, 0.500), Tl at (0.500, 0.500, 0.000) and Co at (0.500, 0.500, 0.500).

For the total magnetic moment, the calculation gives 0.4 μB/f.u.

***

Order of stability, best first: i, ii